# MgPaAuO6, relaxed, DFT PBE-GGA
# Uncorrected formation energy, kJ/mol of formula units: -1655
data_MgPaAuO6
_cell_length_a 5.2418
_cell_length_b 5.2418
_cell_length_c 4.7911
_cell_angle_alpha 90.00
_cell_angle_beta 90.00
_cell_angle_gamma 120.00
_space_group_name_H-M_alt 'P 3 1 2'
_space_group_IT_number 149
_space_group_name_Hall 'P 3 2'
loop_
_atom_site_label
_atom_site_type_symbol
_atom_site_fract_x
_atom_site_fract_y
_atom_site_fract_z
Mg1 Mg 0.0000 0.0000 0.0000
Pa1 Pa 0.3333 0.6667 0.5000
Au1 Au 0.6667 0.3333 0.0000
O1 O 0.3408 0.0123 0.7645

=====

# Pu2Be3PdAu12, relaxed, DFT PBE-GGA
# Calculated formation energy, meV/atom: -9
data_Pu2Be3PdAu12
_cell_length_a 8.4307
_cell_length_b 8.4307
_cell_length_c 18.0401
_cell_angle_alpha 90.00
_cell_angle_beta 90.00
_cell_angle_gamma 120.00
_space_group_name_H-M_alt 'R -3 m'
_space_group_IT_number 166
_space_group_name_Hall '-R 3 2"'
loop_
_atom_site_label
_atom_site_type_symbol
_atom_site_fract_x
_atom_site_fract_y
_atom_site_fract_z
Pu1 Pu 0.0000 0.0000 0.0975
Be1 Be 0.0000 0.5000 0.0000
Pd1 Pd 0.0000 0.0000 0.5000
Au1 Au 0.0177 0.5089 0.8734
Au2 Au 0.0429 0.5214 0.3558

=====

# PmMg2H8Ir, relaxed, DFT PBE-GGA
# E_tot, eV/atom: -3.958
data_PmMg2H8Ir
_cell_length_a 4.4030
_cell_length_b 4.4030
_cell_length_c 6.7944
_cell_angle_alpha 90.00
_cell_angle_beta 90.00
_cell_angle_gamma 120.00
_space_group_name_H-M_alt 'P -3 m 1'
_space_group_IT_number 164
_space_group_name_Hall '-P 3 2"'
loop_
_atom_site_label
_atom_site_type_symbol
_atom_site_fract_x
_atom_site_fract_y
_atom_site_fract_z
Pm1 Pm 0.0000 0.0000 0.0000
Mg1 Mg 0.3333 0.6667 0.3461
H1 H 0.1678 0.3356 0.6684
H2 H 0.3333 0.6667 0.0620
Ir1 Ir 0.0000 0.0000 0.5000

=====

# Tb5Dy6Ho2, relaxed, DFT PBE-GGA
# Calculated formation energy, meV/atom: 97
data_Tb5Dy6Ho2
_cell_length_a 11.5635
_cell_length_b 20.1879
_cell_length_c 3.5575
_cell_angle_alpha 90.00
_cell_angle_beta 90.00
_cell_angle_gamma 90.00
_space_group_name_H-M_alt 'P b a m'
_space_group_IT_number 55
_space_group_name_Hall '-P 2 2ab'
loop_
_atom_site_label
_atom_site_type_symbol
_atom_site_fract_x
_atom_site_fract_y
_atom_site_fract_z
Tb1 Tb 0.0000 0.0000 0.0000
Tb2 Tb 0.0880 0.2731 0.0000
Tb3 Tb 0.1985 0.5508 0.0000
Dy1 Dy 0.0595 0.4191 0.5000
Dy2 Dy 0.0823 0.1314 0.5000
Dy3 Dy 0.1734 0.8636 0.0000
Ho1 Ho 0.1687 0.7099 0.5000

=====

# NbIBr4, relaxed, DFT PBE-GGA
# Uncorrected formation energy, kJ/mol of formula units: -300
data_NbIBr4
_cell_length_a 9.4490
_cell_length_b 6.1573
_cell_length_c 7.4587
_cell_angle_alpha 90.00
_cell_angle_beta 97.19
_cell_angle_gamma 90.00
_space_group_name_H-M_alt 'P 1 21/c 1'
_space_group_IT_number 14
_space_group_name_Hall '-P 2ybc'
loop_
_atom_site_label
_atom_site_type_symbol
_atom_site_fract_x
_atom_site_fract_y
_atom_site_fract_z
Nb1 Nb 0.0000 0.0000 0.0000
I1 I 0.5000 0.0000 0.0000
Br1 Br 0.1193 0.2454 0.7656
Br2 Br 0.2237 0.7190 0.5370

=====

# ScTe2Ir, relaxed, DFT PBE-GGA
# Distance to the lowest polymorph of the same formula, meV/atom: 270
# Uncorrected formation energy, kJ/mol of formula units: -159
data_ScTe2Ir
_cell_length_a 3.6242
_cell_length_b 3.9590
_cell_length_c 12.7418
_cell_angle_alpha 90.00
_cell_angle_beta 90.00
_cell_angle_gamma 90.00
_space_group_name_H-M_alt 'I m m 2'
_space_group_IT_number 44
_space_group_name_Hall 'I 2 -2'
loop_
_atom_site_label
_atom_site_type_symbol
_atom_site_fract_x
_atom_site_fract_y
_atom_site_fract_z
Sc1 Sc 0.0000 0.0000 0.0000
Te1 Te 0.0000 0.0000 0.6037
Te2 Te 0.0000 0.5000 0.8385
Ir1 Ir 0.0000 0.5000 0.2984

=====

# Cd2CuRu, relaxed, DFT PBE-GGA
# Calculated formation energy, meV/atom: 267
# Distance to the lowest polymorph of the same formula, meV/atom: 59
data_Cd2CuRu
_cell_length_a 2.8874
_cell_length_b 2.8874
_cell_length_c 27.7127
_cell_angle_alpha 90.00
_cell_angle_beta 90.00
_cell_angle_gamma 120.00
_space_group_name_H-M_alt 'R -3 m'
_space_group_IT_number 166
_space_group_name_Hall '-R 3 2"'
loop_
_atom_site_label
_atom_site_type_symbol
_atom_site_fract_x
_atom_site_fract_y
_atom_site_fract_z
Cd1 Cd 0.0000 0.0000 0.2482
Cu1 Cu 0.0000 0.0000 0.5000
Ru1 Ru 0.0000 0.0000 0.0000

=====

# La2Sm9Th, relaxed, DFT PBE-GGA
# Calculated formation energy, meV/atom: 26
data_La2Sm9Th
_cell_length_a 5.1503
_cell_length_b 5.1503
_cell_length_c 15.4621
_cell_angle_alpha 90.00
_cell_angle_beta 90.00
_cell_angle_gamma 90.00
_space_group_name_H-M_alt 'P 4/m m m'
_space_group_IT_number 123
_space_group_name_Hall '-P 4 2'
loop_
_atom_site_label
_atom_site_type_symbol
_atom_site_fract_x
_atom_site_fract_y
_atom_site_fract_z
La1 La 0.0000 0.0000 0.1677
Sm1 Sm 0.0000 0.5000 0.0000
Sm2 Sm 0.0000 0.5000 0.3385
Sm3 Sm 0.5000 0.5000 0.1677
Sm4 Sm 0.5000 0.5000 0.5000
Th1 Th 0.0000 0.0000 0.5000